DFT (PBEsol) results for NaMg3Fe after structural relaxation.

Cell and atoms, written as CIF:
```
data_NaMg3Fe
_chemical_formula_sum 'Na1 Mg3 Fe1'
_cell_length_a 5.023
_cell_length_b 5.023
_cell_length_c 5.023
_cell_angle_alpha 90.00
_cell_angle_beta 90.00
_cell_angle_gamma 90.00
_space_group_name_H-M_alt 'P 1'
_space_group_IT_number 1
loop_
_space_group_symop_operation_xyz
'x,y,z'
loop_
_atom_site_label
_atom_site_type_symbol
_atom_site_fract_x
_atom_site_fract_y
_atom_site_fract_z
Na1 Na 0.000 0.000 0.000
Mg1 Mg 0.000 0.500 0.000
Mg2 Mg 0.000 0.000 0.500
Mg3 Mg 0.500 0.000 0.000
Fe1 Fe 0.500 0.500 0.500
```

Computed properties:
* E: -1.81 eV per atom
* calculated formation energy: 1289 meV/atom

***

DFT (PBEsol) results for CaNb3Br after structural relaxation.

Cell and atoms, written as CIF:
```
data_CaNb3Br
_chemical_formula_sum 'Ca1 Nb3 Br1'
_cell_length_a 4.818
_cell_length_b 4.818
_cell_length_c 4.818
_cell_angle_alpha 90.00
_cell_angle_beta 90.00
_cell_angle_gamma 90.00
_space_group_name_H-M_alt 'P 1'
_space_group_IT_number 1
loop_
_space_group_symop_operation_xyz
'x,y,z'
loop_
_atom_site_label
_atom_site_type_symbol
_atom_site_fract_x
_atom_site_fract_y
_atom_site_fract_z
Nb1 Nb 0.000 0.500 0.000
Nb2 Nb 0.000 0.000 0.500
Nb3 Nb 0.500 0.000 0.000
Ca1 Ca 0.000 0.000 0.000
Br1 Br 0.500 0.500 0.500
```

Computed properties:
* E: -4.90 eV per atom
* raw formation energy: 2393.9 meV/atom

***

DFT (PBEsol) results for HoNiSn after structural relaxation.

Cell and atoms, written as CIF:
```
data_HoNiSn
_chemical_formula_sum 'Ho3 Ni3 Sn3'
_cell_length_a 3.842
_cell_length_b 7.161
_cell_length_c 7.161
_cell_angle_alpha 120.00
_cell_angle_beta 90.00
_cell_angle_gamma 90.00
_space_group_name_H-M_alt 'P 1'
_space_group_IT_number 1
loop_
_space_group_symop_operation_xyz
'x,y,z'
loop_
_atom_site_label
_atom_site_type_symbol
_atom_site_fract_x
_atom_site_fract_y
_atom_site_fract_z
Ho1 Ho 0.500 0.592 0.000
Ho2 Ho 0.500 0.408 0.408
Ho3 Ho 0.500 0.000 0.592
Ni1 Ni 0.500 0.000 0.000
Ni2 Ni 0.000 0.333 0.667
Ni3 Ni 0.000 0.667 0.333
Sn1 Sn 0.000 0.257 0.000
Sn2 Sn 0.000 0.743 0.743
Sn3 Sn 0.000 0.000 0.257
```

Computed properties:
* E: -5.85 eV per atom
* calculated formation energy: -725 meV/atom

***

DFT (PBEsol) results for Nd3Y after structural relaxation.

Cell and atoms, written as CIF:
```
data_Nd3Y
_chemical_formula_sum 'Nd6 Y2'
_cell_length_a 5.790
_cell_length_b 7.209
_cell_length_c 7.209
_cell_angle_alpha 120.00
_cell_angle_beta 90.00
_cell_angle_gamma 90.00
_space_group_name_H-M_alt 'P 1'
_space_group_IT_number 1
loop_
_space_group_symop_operation_xyz
'x,y,z'
loop_
_atom_site_label
_atom_site_type_symbol
_atom_site_fract_x
_atom_site_fract_y
_atom_site_fract_z
Y1 Y 0.750 0.333 0.667
Y2 Y 0.250 0.667 0.333
Nd1 Nd 0.250 0.667 0.833
Nd2 Nd 0.250 0.167 0.333
Nd3 Nd 0.250 0.167 0.833
Nd4 Nd 0.750 0.333 0.167
Nd5 Nd 0.750 0.833 0.667
Nd6 Nd 0.750 0.833 0.167
```

Computed properties:
* offset from the most stable computed form: 31.1 meV per atom
* E: -5.56 eV per atom
* calculated formation energy: 24 meV/atom

***

DFT (PBEsol) results for TaRuW after structural relaxation.

Cell and atoms, written as CIF:
```
data_TaRuW
_chemical_formula_sum 'Ta1 Ru1 W1'
_cell_length_a 2.813
_cell_length_b 2.813
_cell_length_c 6.870
_cell_angle_alpha 90.00
_cell_angle_beta 90.00
_cell_angle_gamma 120.00
_space_group_name_H-M_alt 'P 1'
_space_group_IT_number 1
loop_
_space_group_symop_operation_xyz
'x,y,z'
loop_
_atom_site_label
_atom_site_type_symbol
_atom_site_fract_x
_atom_site_fract_y
_atom_site_fract_z
Ru1 Ru 0.000 0.000 0.007
Ta1 Ta 0.333 0.667 0.676
W1 W 0.667 0.333 0.316
```

Computed properties:
* offset from the most stable computed form: 147.4 meV per atom
* E: -12.01 eV per atom
* calculated formation energy: 163 meV/atom

***

DFT (PBEsol) results for Li2ZrPdRh after structural relaxation.

Cell and atoms, written as CIF:
```
data_Li2ZrPdRh
_chemical_formula_sum 'Li2 Zr1 Pd1 Rh1'
_cell_length_a 4.603
_cell_length_b 4.603
_cell_length_c 4.615
_cell_angle_alpha 90.00
_cell_angle_beta 90.00
_cell_angle_gamma 90.00
_space_group_name_H-M_alt 'P 1'
_space_group_IT_number 1
loop_
_space_group_symop_operation_xyz
'x,y,z'
loop_
_atom_site_label
_atom_site_type_symbol
_atom_site_fract_x
_atom_site_fract_y
_atom_site_fract_z
Rh1 Rh 0.500 0.500 0.500
Zr1 Zr 0.000 0.000 0.000
Pd1 Pd 0.000 0.000 0.500
Li1 Li 0.000 0.500 0.000
Li2 Li 0.500 0.000 0.000
```

Computed properties:
* E: -3.98 eV per atom
* calculated formation energy: 1445 meV/atom

***

DFT (PBEsol) results for LiY2Mn after structural relaxation.

Cell and atoms, written as CIF:
```
data_LiY2Mn
_chemical_formula_sum 'Li1 Y2 Mn1'
_cell_length_a 4.985
_cell_length_b 4.985
_cell_length_c 4.985
_cell_angle_alpha 60.00
_cell_angle_beta 60.00
_cell_angle_gamma 60.00
_space_group_name_H-M_alt 'P 1'
_space_group_IT_number 1
loop_
_space_group_symop_operation_xyz
'x,y,z'
loop_
_atom_site_label
_atom_site_type_symbol
_atom_site_fract_x
_atom_site_fract_y
_atom_site_fract_z
Li1 Li 0.500 0.500 0.500
Mn1 Mn 0.250 0.250 0.250
Y1 Y 0.000 0.000 0.000
Y2 Y 0.750 0.750 0.750
```

Computed properties:
* E: -5.91 eV per atom
* calculated formation energy: 435 meV/atom

***

DFT (PBEsol) results for Dy5Si4 after structural relaxation.

Cell and atoms, written as CIF:
```
data_Dy5Si4
_chemical_formula_sum 'Dy20 Si16'
_cell_length_a 7.346
_cell_length_b 7.600
_cell_length_c 14.396
_cell_angle_alpha 90.00
_cell_angle_beta 90.00
_cell_angle_gamma 90.00
_space_group_name_H-M_alt 'P 1'
_space_group_IT_number 1
loop_
_space_group_symop_operation_xyz
'x,y,z'
loop_
_atom_site_label
_atom_site_type_symbol
_atom_site_fract_x
_atom_site_fract_y
_atom_site_fract_z
Dy1 Dy 0.352 0.011 0.250
Dy2 Dy 0.852 0.489 0.250
Dy3 Dy 0.148 0.511 0.750
Dy4 Dy 0.648 0.989 0.750
Dy5 Dy 0.029 0.183 0.098
Dy6 Dy 0.529 0.317 0.402
Dy7 Dy 0.471 0.683 0.902
Dy8 Dy 0.971 0.817 0.598
Dy9 Dy 0.971 0.817 0.902
Dy10 Dy 0.471 0.683 0.598
Dy11 Dy 0.529 0.317 0.098
Dy12 Dy 0.029 0.183 0.402
Dy13 Dy 0.318 0.180 0.877
Dy14 Dy 0.818 0.320 0.623
Dy15 Dy 0.182 0.680 0.123
Dy16 Dy 0.682 0.820 0.377
Dy17 Dy 0.682 0.820 0.123
Dy18 Dy 0.182 0.680 0.377
Dy19 Dy 0.818 0.320 0.877
Dy20 Dy 0.318 0.180 0.623
Si1 Si 0.235 0.373 0.250
Si2 Si 0.735 0.127 0.250
Si3 Si 0.265 0.873 0.750
Si4 Si 0.765 0.627 0.750
Si5 Si 0.979 0.898 0.250
Si6 Si 0.479 0.602 0.250
Si7 Si 0.521 0.398 0.750
Si8 Si 0.021 0.102 0.750
Si9 Si 0.146 0.472 0.960
Si10 Si 0.646 0.028 0.540
Si11 Si 0.354 0.972 0.040
Si12 Si 0.854 0.528 0.460
Si13 Si 0.854 0.528 0.040
Si14 Si 0.354 0.972 0.460
Si15 Si 0.646 0.028 0.960
Si16 Si 0.146 0.472 0.540
```

Computed properties:
* E: -6.12 eV per atom
* raw formation energy: -795.4 meV/atom

***

DFT (PBEsol) results for La2AlNi after structural relaxation.

Cell and atoms, written as CIF:
```
data_La2AlNi
_chemical_formula_sum 'La2 Al1 Ni1'
_cell_length_a 4.397
_cell_length_b 4.397
_cell_length_c 6.003
_cell_angle_alpha 68.52
_cell_angle_beta 68.52
_cell_angle_gamma 60.00
_space_group_name_H-M_alt 'P 1'
_space_group_IT_number 1
loop_
_space_group_symop_operation_xyz
'x,y,z'
loop_
_atom_site_label
_atom_site_type_symbol
_atom_site_fract_x
_atom_site_fract_y
_atom_site_fract_z
Ni1 Ni 0.548 0.548 0.355
Al1 Al 0.205 0.205 0.385
La1 La 0.979 0.979 0.064
La2 La 0.768 0.768 0.696
```

Computed properties:
* E: -5.54 eV per atom
* calculated formation energy: -301 meV/atom

***

DFT (PBEsol) results for Cd2HgAu after structural relaxation.

Cell and atoms, written as CIF:
```
data_Cd2HgAu
_chemical_formula_sum 'Cd2 Hg1 Au1'
_cell_length_a 2.911
_cell_length_b 5.034
_cell_length_c 5.924
_cell_angle_alpha 112.80
_cell_angle_beta 90.00
_cell_angle_gamma 90.00
_space_group_name_H-M_alt 'P 1'
_space_group_IT_number 1
loop_
_space_group_symop_operation_xyz
'x,y,z'
loop_
_atom_site_label
_atom_site_type_symbol
_atom_site_fract_x
_atom_site_fract_y
_atom_site_fract_z
Au1 Au 0.000 0.500 0.500
Hg1 Hg 0.500 0.500 0.000
Cd1 Cd 0.000 0.000 0.000
Cd2 Cd 0.500 0.000 0.500
```

Computed properties:
* offset from the most stable computed form: 57.5 meV per atom
* E: -1.74 eV per atom
* calculated formation energy: -22 meV/atom

***

DFT (PBEsol) results for Li3HPd after structural relaxation.

Cell and atoms, written as CIF:
```
data_Li3HPd
_chemical_formula_sum 'Li3 H1 Pd1'
_cell_length_a 3.839
_cell_length_b 3.839
_cell_length_c 3.839
_cell_angle_alpha 90.00
_cell_angle_beta 90.00
_cell_angle_gamma 90.00
_space_group_name_H-M_alt 'P 1'
_space_group_IT_number 1
loop_
_space_group_symop_operation_xyz
'x,y,z'
loop_
_atom_site_label
_atom_site_type_symbol
_atom_site_fract_x
_atom_site_fract_y
_atom_site_fract_z
H1 H 0.000 0.000 0.000
Pd1 Pd 0.500 0.500 0.500
Li1 Li 0.000 0.500 0.000
Li2 Li 0.000 0.000 0.500
Li3 Li 0.500 0.000 0.000
```

Computed properties:
* E: -3.31 eV per atom

***

DFT (PBEsol) results for FeRe2Si after structural relaxation.

Cell and atoms, written as CIF:
```
data_FeRe2Si
_chemical_formula_sum 'Fe1 Re2 Si1'
_cell_length_a 3.008
_cell_length_b 4.067
_cell_length_c 4.263
_cell_angle_alpha 90.00
_cell_angle_beta 90.00
_cell_angle_gamma 90.00
_space_group_name_H-M_alt 'P 1'
_space_group_IT_number 1
loop_
_space_group_symop_operation_xyz
'x,y,z'
loop_
_atom_site_label
_atom_site_type_symbol
_atom_site_fract_x
_atom_site_fract_y
_atom_site_fract_z
Fe1 Fe 0.000 0.500 0.500
Re1 Re 0.000 0.000 0.000
Re2 Re 0.500 0.000 0.500
Si1 Si 0.500 0.500 0.000
```

Computed properties:
* E: -10.29 eV per atom
* raw formation energy: 51.4 meV/atom